# PBE-GGA KMgHg2Ir, optimized geometry
# Calculated volume = 28.75 A^3/atom
# ΔE_f = -79 meV/atom
# M_tot = 0.000 μB per atom
# Uncorrected energy = -12.6 eV for the cell shown
data_KMgHg2Ir
_cell_length_a 5.359
_cell_length_b 5.359
_cell_length_c 5.005
_cell_angle_alpha 90.00
_cell_angle_beta 90.00
_cell_angle_gamma 90.00
_symmetry_space_group_name_H-M 'P 4/m m m'
_symmetry_Int_Tables_number 123
_symmetry_space_group_name_Hall '-P 4 2'
loop_
_atom_site_label
_atom_site_type_symbol
_atom_site_fract_x
_atom_site_fract_y
_atom_site_fract_z
K1 K 0.000 0.000 0.000
Mg1 Mg 0.500 0.500 0.000
Hg1 Hg 0.000 0.500 0.500
Ir1 Ir 0.500 0.500 0.500